# Zn3BP

A relaxed structure of Zn3BP (GGA-PBE, Alexandria).

Summary:
* energy relative to the elements: 1.17 eV/atom
* space-group type: Pm-3m (221)
* mass density: 4.04 g/cm3
* total DFT energy (no corrections): -2.02 eV per atom
* distance to the lowest polymorph of the same formula: 320 kJ/mol of formula units
* DOS(E_F): 2.35 states/eV/cell
* crystal system: cubic

Cell: 4.608 4.608 4.608 Å, 90.00 90.00 90.00°
Sites, in units of the cell vectors:
P 0.000 0.000 0.000
Zn 0.000 0.500 0.000
Zn 0.000 0.000 0.500
Zn 0.500 0.000 0.000
B 0.500 0.500 0.500